An optimized crystal structure of In3Pd3Pt. Source: Alexandria via LeMat-Bulk, functional PBE.

Cell: 6.141 6.141 7.033 Å, 90.00 90.00 89.07°
Fractional positions:
In: 0.000 0.000 0.754
In: 0.500 0.000 0.250
In: 0.000 0.500 0.250
In: 0.500 0.000 0.750
In: 0.000 0.500 0.750
In: 0.000 0.000 0.246
Pd: 0.254 0.254 0.500
Pd: 0.253 0.747 0.500
Pd: 0.747 0.253 0.500
Pd: 0.274 0.726 0.000
Pd: 0.726 0.274 0.000
Pd: 0.746 0.746 0.500
Pt: 0.249 0.249 0.000
Pt: 0.751 0.751 0.000

Output
The calculation puts the density of states at the Fermi level at 2.18 states/eV/f.u. The value obtained for the uncorrected energy is -4.607 eV per atom. Its energy above the most stable polymorph in this dataset is 0.0 meV/atom. The energy of formation from the pure elements is -233 kJ/mol of formula units.